1.
Here is a crystal of MnZnMo2 relaxed with PBEsol from the Alexandria database. Energies are from meta-GGA SCAN.

a b c (Å): 3.136 3.136 5.740
angles (deg): 90.00 90.00 90.00
Each line ends with the local moment (μB).
Atoms (fractional coordinates):
Mn1 0.500 0.500 0.745  3.33
Mo1 0.000 0.000 0.998  -0.68
Mo2 0.500 0.500 0.245  0.35
Zn1 0.000 0.000 0.512  -0.07

Values from the calculation:
Energy   -101.482 eV per cell
Energy relative to the elements   0.015 eV/atom
D(E_F)   0.327 states/eV per atom

=====

2.
Here is a crystal of K3TlSi relaxed with PBEsol from the Alexandria database. Energies are from meta-GGA SCAN.

a b c (Å): 6.350 6.350 6.350
angles (deg): 90.00 90.00 90.00
Each line ends with the local moment (μB).
Atoms (fractional coordinates):
Tl1 0.500 0.500 0.500  -0.27
Si1 0.000 0.000 0.000  0.46
K1 0.000 0.500 0.000  0.01
K2 0.000 0.000 0.500  0.01
K3 0.500 0.000 0.000  0.01

Values from the calculation:
Formation energy (no corrections)   386 meV per atom
Energy   -105.430 eV per cell
D(E_F)   0.556 states/eV per atom

=====

3.
Here is a crystal of YNb2AsI relaxed with PBEsol from the Alexandria database. Energies are from meta-GGA SCAN.

a b c (Å): 4.976 4.976 5.413
angles (deg): 90.00 90.00 90.00
Atoms (fractional coordinates):
I1 0.000 0.000 0.000
Y1 0.500 0.500 0.500
Nb1 0.000 0.500 0.000
Nb2 0.500 0.000 0.000
As1 0.000 0.000 0.500

Values from the calculation:
Formation energy (no corrections)   1260 meV per atom
Energy   -144.736 eV per cell
D(E_F)   1.117 states/eV per atom

=====

4.
Here is a crystal of KRePt relaxed with PBEsol from the Alexandria database. Energies are from meta-GGA SCAN.

a b c (Å): 2.673 4.128 6.518
angles (deg): 108.46 101.83 90.00
Atoms (fractional coordinates):
K1 0.003 0.003 0.006
Pt1 0.717 0.717 0.434
Re1 0.280 0.280 0.560

Values from the calculation:
Energy   -148.453 eV per cell
Energy relative to the elements   0.389 eV/atom
D(E_F)   0.686 states/eV per atom

=====

5.
Here is a crystal of KLaZr2 relaxed with PBEsol from the Alexandria database. Energies are from meta-GGA SCAN.

a b c (Å): 3.262 3.262 11.698
angles (deg): 90.00 90.00 90.00
Atoms (fractional coordinates):
K1 0.000 0.000 0.483
La1 0.500 0.500 0.803
Zr1 0.000 0.000 0.020
Zr2 0.500 0.500 0.194

Values from the calculation:
E above lowest polymorph   0.0 meV per atom
Energy   -111.515 eV per cell
Energy relative to the elements   0.329 eV/atom
D(E_F)   1.213 states/eV per atom

=====

6.
Here is a crystal of Ca2InPd2 relaxed with PBEsol from the Alexandria database. Energies are from meta-GGA SCAN.

a b c (Å): 5.667 5.754 8.092
angles (deg): 102.86 90.00 119.50
Atoms (fractional coordinates):
Ca1 0.498 0.702 0.351
Ca2 0.796 0.298 0.149
Ca3 0.502 0.298 0.649
Ca4 0.204 0.702 0.851
In1 0.156 0.000 0.250
In2 0.844 0.000 0.750
Pd1 0.272 0.268 0.002
Pd2 0.004 0.732 0.498
Pd3 0.728 0.732 0.998
Pd4 0.996 0.268 0.502

Values from the calculation:
Energy   -244.491 eV per cell
Energy relative to the elements   -0.797 eV/atom
D(E_F)   0.310 states/eV per atom

=====

The evaluated spin magnetization for the records listed, in turn: 2.96, 0.02, 0.00, 0.00, 0.00, 0.00 μB per formula unit.